## YBeCoAs (GGA-PBE)

Data for an optimized crystal structure of YBeCoAs.

Its energy above the most stable polymorph in this dataset is 13 kJ/mol of formula units. The value obtained for the uncorrected energy is -5.499 eV/atom.

The space group is F-43m (No. 216) and the conventional cell measures 6.236, 6.236 and 6.236 Å, with angles of 90.00, 90.00 and 90.00 degrees. The distinct sites, in fractional coordinates, are Y at (0.000, 0.000, 0.000), Be at (0.250, 0.250, 0.250), Co at (0.250, 0.250, 0.750) and As at (0.000, 0.000, 0.500).